Here is a relaxed Pm4DyTh crystal from Alexandria. Energies are from PBE-GGA.

Computed properties:
**Total magnetization**: 0.00 μB/cell
**ΔE_f**: 0.6407 eV/atom
**Distance to the lowest polymorph of the same formula**: 599 meV/atom

abc: 8.3631 8.3631 3.4492
angles: 90.00 90.00 91.26
Element x y z (fractional)
1 Pm 0.2333 0.7667 0.0000
2 Pm 0.2630 0.2630 0.5000
3 Pm 0.7370 0.7370 0.5000
4 Pm 0.7667 0.2333 0.0000
5 Dy 0.0000 0.0000 0.5000
6 Th 0.5000 0.5000 0.0000